The following is a PBE with a Hubbard U calculation of crystalline AcMn2F8 at its relaxed geometry, from Alexandria via LeMat-Bulk.

```
data_AcMn2F8
_chemical_formula_sum 'Ac1 Mn2 F8'
_cell_length_a 4.126
_cell_length_b 6.037
_cell_length_c 6.037
_cell_angle_alpha 114.88
_cell_angle_beta 95.21
_cell_angle_gamma 95.21
_space_group_name_H-M_alt 'P 1'
_space_group_IT_number 1
loop_
_space_group_symop_operation_xyz
'x,y,z'
loop_
_atom_site_label
_atom_site_type_symbol
_atom_site_fract_x
_atom_site_fract_y
_atom_site_fract_z
Mn1 Mn 0.500 0.664 0.330
Mn2 Mn 0.500 0.330 0.664
F1 F 0.207 0.385 0.385
F2 F 0.440 0.668 0.937
F3 F 0.000 0.250 0.744
F4 F 0.560 0.325 0.057
F5 F 0.440 0.937 0.668
F6 F 0.000 0.744 0.250
F7 F 0.560 0.057 0.325
F8 F 0.793 0.609 0.609
Ac1 Ac 0.000 0.997 0.997
```

## Properties
Space group ... C2/m
DFT total energy ... -6.106 eV per atom